Record 1
K5Pb | GGA-PBEsol | optimized geometry

The structure in POSCAR format:
```
K5Pb
1.0
-3.2544 5.1404 1.1526
-2.4580 -0.2733 -5.7212
-4.2936 -6.9358 2.1760
Pb K
1 5
Cartesian
-1.6272 2.5702 0.5763 Pb
-5.4885 -3.2773 -0.8805 K
-1.7033 -1.2559 0.7918 K
-1.2290 -0.1367 -2.8606 K
-5.8447 -0.5395 2.5368 K
-4.5175 1.2086 -1.5120 K
```

Total DFT energy (no corrections) = -1.62 eV per atom
Energy of formation from the pure elements = -0.007 eV/atom


Record 2
BaMoSeO6 | GGA-PBEsol | optimized geometry

The structure in POSCAR format:
```
BaMoSeO6
1.0
6.2002 -0.0160 0.0000
-0.7215 8.3344 0.0000
0.0000 0.0000 10.1786
Ba Mo Se O
4 4 4 24
Cartesian
4.5237 0.0851 7.0289 Ba
4.1629 4.2523 8.2390 Ba
1.3158 4.0661 1.9396 Ba
0.9550 8.2333 3.1497 Ba
0.8302 6.3897 9.3836 Mo
4.6484 1.9287 0.7950 Mo
4.2876 6.0959 4.2943 Mo
1.1910 2.2225 5.8843 Mo
1.6517 1.4665 9.1544 Se
4.1878 2.6847 4.0651 Se
3.8270 6.8519 1.0242 Se
1.2909 5.6337 6.1135 Se
1.0563 0.4739 6.0050 O
5.5079 6.8759 8.6603 O
3.4057 4.2086 3.9443 O
3.7665 0.0414 1.1450 O
4.9122 1.6565 9.2593 O
2.5497 2.3193 0.1755 O
4.4224 7.8445 4.1736 O
0.9273 2.4947 4.1700 O
3.4693 1.9975 2.6442 O
-0.3900 5.6096 3.5710 O
2.0094 6.3209 7.5344 O
3.1085 6.1647 2.4451 O
2.0729 4.1098 6.2343 O
5.8686 2.7088 6.6076 O
2.3701 2.1537 7.7335 O
0.5665 6.6618 0.9193 O
1.7121 8.2770 9.0336 O
3.2897 1.8319 5.2648 O
0.6955 4.6411 9.2629 O
2.1889 6.4864 4.9138 O
4.5514 5.8237 6.0086 O
4.7832 3.6773 0.9157 O
2.9290 5.9991 10.0031 O
-0.0292 1.4424 1.5183 O
```

Formation energy (no corrections) = -1.948 eV/atom
Total DFT energy (no corrections) = -7.42 eV per atom


Record 3
Ag2Mo | GGA-PBEsol | optimized geometry

The structure in POSCAR format:
```
Ag2Mo
1.0
2.6268 0.0000 0.0000
0.0000 4.5866 0.0000
0.0000 -2.2933 3.9721
Ag Mo
2 1
Cartesian
0.0000 2.2933 1.3240 Ag
0.0000 0.0000 2.6481 Ag
1.3134 0.0000 0.0000 Mo
```

Total DFT energy (no corrections) = -5.56 eV per atom
Energy of formation from the pure elements = 0.569 eV/atom


Record 4
KMg30FeO32 | GGA-PBEsol | optimized geometry

The structure in POSCAR format:
```
KMg30FeO32
1.0
8.4881 0.0000 0.0000
0.0000 8.4881 0.0000
0.0000 0.0000 8.4930
K Mg Fe O
1 30 1 32
Cartesian
4.2441 4.2441 0.0000 K
0.0000 4.2441 0.0000 Mg
4.2441 0.0000 0.0000 Mg
0.0000 0.0000 4.2465 Mg
0.0000 4.2441 4.2465 Mg
4.2441 0.0000 4.2465 Mg
4.2441 4.2441 4.2465 Mg
2.1191 2.1191 0.0000 Mg
2.1191 6.3690 0.0000 Mg
6.3690 2.1191 0.0000 Mg
6.3690 6.3690 0.0000 Mg
2.1283 2.1283 4.2465 Mg
2.1283 6.3599 4.2465 Mg
6.3599 2.1283 4.2465 Mg
6.3599 6.3599 4.2465 Mg
0.0000 2.1250 2.1222 Mg
0.0000 6.3632 2.1222 Mg
4.2441 2.1181 2.1365 Mg
4.2441 6.3700 2.1365 Mg
0.0000 2.1250 6.3709 Mg
0.0000 6.3632 6.3709 Mg
4.2441 2.1181 6.3565 Mg
4.2441 6.3700 6.3565 Mg
2.1250 0.0000 2.1222 Mg
2.1181 4.2441 2.1365 Mg
6.3632 0.0000 2.1222 Mg
6.3700 4.2441 2.1365 Mg
2.1250 0.0000 6.3709 Mg
2.1181 4.2441 6.3565 Mg
6.3632 0.0000 6.3709 Mg
6.3700 4.2441 6.3565 Mg
0.0000 0.0000 0.0000 Fe
0.0000 0.0000 2.0256 O
0.0000 4.2441 2.1406 O
4.2441 0.0000 2.1406 O
4.2441 4.2441 2.3197 O
0.0000 0.0000 6.4675 O
0.0000 4.2441 6.3524 O
4.2441 0.0000 6.3524 O
4.2441 4.2441 6.1733 O
2.1152 2.1152 2.1158 O
2.1152 6.3729 2.1158 O
6.3729 2.1152 2.1158 O
6.3729 6.3729 2.1158 O
2.1152 2.1152 6.3772 O
2.1152 6.3729 6.3772 O
6.3729 2.1152 6.3772 O
6.3729 6.3729 6.3772 O
0.0000 1.9777 0.0000 O
0.0000 6.5105 0.0000 O
4.2441 1.9116 0.0000 O
4.2441 6.5766 0.0000 O
0.0000 2.0862 4.2465 O
0.0000 6.4019 4.2465 O
4.2441 2.0772 4.2465 O
4.2441 6.4110 4.2465 O
1.9777 0.0000 0.0000 O
1.9116 4.2441 0.0000 O
6.5105 0.0000 0.0000 O
6.5766 4.2441 0.0000 O
2.0862 0.0000 4.2465 O
2.0772 4.2441 4.2465 O
6.4019 0.0000 4.2465 O
6.4110 4.2441 4.2465 O
```

Formation energy (no corrections) = -2.599 eV/atom
Total DFT energy (no corrections) = -6.19 eV per atom